Entry 1:
TaBMo after structural relaxation. Source: the Open Quantum Materials Database, functional PBE.

The structure in CIF format:
```
data_TaBMo
_chemical_formula_sum 'Ta4 B4 Mo4'
_space_group_name_H-M_alt 'F -4 3 m'
_space_group_IT_number 216
_space_group_name_Hall 'F -4 2 3'
_cell_length_a 5.8273
_cell_length_b 5.8273
_cell_length_c 5.8273
_cell_angle_alpha 90.00
_cell_angle_beta 90.00
_cell_angle_gamma 90.00
loop_
_atom_site_label
_atom_site_type_symbol
_atom_site_fract_x
_atom_site_fract_y
_atom_site_fract_z
Ta1 Ta 0.0000 0.0000 0.0000
B1 B 0.0000 0.0000 0.5000
Mo1 Mo 0.2500 0.2500 0.7500
```

Properties
Excess energy over the best structure of this formula in the dataset in eV per atom: 0.000
DFT total energy in eV/atom: -8.488
ρ in g cm⁻³: 9.66

---

Entry 2:
CuNiPdPb after structural relaxation. Source: the Open Quantum Materials Database, functional PBE.

The structure in CIF format:
```
data_CuNiPdPb
_chemical_formula_sum 'Cu4 Ni4 Pd4 Pb4'
_space_group_name_H-M_alt 'F -4 3 m'
_space_group_IT_number 216
_space_group_name_Hall 'F -4 2 3'
_cell_length_a 6.3138
_cell_length_b 6.3138
_cell_length_c 6.3138
_cell_angle_alpha 90.00
_cell_angle_beta 90.00
_cell_angle_gamma 90.00
loop_
_atom_site_label
_atom_site_type_symbol
_atom_site_fract_x
_atom_site_fract_y
_atom_site_fract_z
Cu1 Cu 0.0000 0.0000 0.0000
Ni1 Ni 0.2500 0.2500 0.2500
Pd1 Pd 0.0000 0.0000 0.5000
Pb1 Pb 0.2500 0.2500 0.7500
```

Properties
Excess energy over the best structure of this formula in the dataset in eV per atom: 0.068
DFT total energy in eV/atom: -4.422
ρ in g cm⁻³: 11.50

---

Entry 3:
PuThNp after structural relaxation. Source: the Open Quantum Materials Database, functional PBE.

The structure in CIF format:
```
data_PuThNp
_chemical_formula_sum 'Pu4 Th4 Np4'
_space_group_name_H-M_alt 'F -4 3 m'
_space_group_IT_number 216
_space_group_name_Hall 'F -4 2 3'
_cell_length_a 6.6738
_cell_length_b 6.6738
_cell_length_c 6.6738
_cell_angle_alpha 90.00
_cell_angle_beta 90.00
_cell_angle_gamma 90.00
loop_
_atom_site_label
_atom_site_type_symbol
_atom_site_fract_x
_atom_site_fract_y
_atom_site_fract_z
Pu1 Pu 0.0000 0.0000 0.0000
Th1 Th 0.2500 0.2500 0.2500
Np1 Np 0.2500 0.2500 0.7500
```

Properties
DFT total energy in eV/atom: -10.543
Formation enthalpy at 0 K in eV/atom: 0.893
ρ in g cm⁻³: 15.93

---

Entry 4:
ScNbAlCo after structural relaxation. Source: the Open Quantum Materials Database, functional PBE.

The structure in CIF format:
```
data_ScNbAlCo
_chemical_formula_sum 'Sc4 Nb4 Al4 Co4'
_space_group_name_H-M_alt 'F -4 3 m'
_space_group_IT_number 216
_space_group_name_Hall 'F -4 2 3'
_cell_length_a 6.3510
_cell_length_b 6.3510
_cell_length_c 6.3510
_cell_angle_alpha 90.00
_cell_angle_beta 90.00
_cell_angle_gamma 90.00
loop_
_atom_site_label
_atom_site_type_symbol
_atom_site_fract_x
_atom_site_fract_y
_atom_site_fract_z
Sc1 Sc 0.0000 0.0000 0.0000
Nb1 Nb 0.2500 0.2500 0.2500
Al1 Al 0.0000 0.0000 0.5000
Co1 Co 0.2500 0.2500 0.7500
```

Properties
Excess energy over the best structure of this formula in the dataset in eV per atom: 0.000
DFT total energy in eV/atom: -6.819
ρ in g cm⁻³: 5.80